Material: V2Cr2Tc
Method: DFT, PBE-GGA
State: optimized geometry

Unit cell a=7.001 b=7.001 c=4.359 alpha=101.92 beta=101.92 gamma=133.59
Fractional coordinates of all 10 atoms:
V 0.356 0.644 0.250
V 0.752 0.248 0.250
V 0.248 0.752 0.750
V 0.644 0.356 0.750
Cr 0.785 0.688 0.489
Cr 0.312 0.215 0.011
Cr 0.688 0.785 0.989
Cr 0.215 0.312 0.511
Tc 0.144 0.856 0.250
Tc 0.856 0.144 0.750

- Magnetization: 0.00 μB/cell
- Uncorrected energy: -94.7 eV per cell